The following is a DFT calculation (PBE) of a relaxed structure of Ca2TlInPd.

The structure in extended XYZ format:
```
5
Lattice="5.501 0.000 0.000 0.000 5.162 0.000 0.000 0.000 5.501" Properties=species:S:1:pos:R:3 pbc="T T T"
Tl 2.750 2.581 2.750
Ca 0.000 0.000 2.750
Ca 2.750 0.000 0.000
Pd 0.000 0.000 0.000
In 0.000 2.581 0.000
```

total energy	-16.230	eV for the cell shown
density of states at the Fermi level	2.81	states/eV/cell
size of the total moment	0.00	μB per formula unit
crystal system	tetragonal